1.
## Ac2AlGaHg6 (PBE)

Data for an optimized crystal structure of Ac2AlGaHg6.

For the calculated formation energy, the calculation gives -0.229 eV/atom. The theoretical density is 10.78 g cm⁻³.

Cell: 7.1770 7.1770 36.3600 Å, 90.00 90.00 120.00°
Space group R-3m (No. 166, hexagonal axes)
Asymmetric unit:
Ac: 0.0000 0.0000 0.1134 x6
Ac: 0.0000 0.0000 0.2844 x6
Al: 0.0000 0.0000 0.0000 x3
Al: 0.0000 0.0000 0.5000 x3
Ga: 0.0000 0.0000 0.4251 x6
Hg: 0.0294 0.5147 0.2956 x18
Hg: 0.0545 0.5272 0.8687 x18

***

2.
## Ac2Al3Ga4Hg (PBE)

Data for an optimized crystal structure of Ac2Al3Ga4Hg.

For the calculated formation energy, the calculation gives -0.416 eV/atom. The theoretical density is 7.45 g cm⁻³.

Cell: 4.593 4.593 10.719 Å, 90.00 90.00 90.00°
Space group P-4m2 (No. 115)
Asymmetric unit:
Ac: 0.000 0.500 0.244 x2
Al: 0.000 0.500 0.878 x2
Al: 0.500 0.500 0.500 x1
Ga: 0.000 0.000 0.000 x1
Ga: 0.000 0.500 0.640 x2
Ga: 0.500 0.500 0.000 x1
Hg: 0.000 0.000 0.500 x1

***

3.
## AcAlGaHg (PBE)

Data for an optimized crystal structure of AcAlGaHg.

For the calculated formation energy, the calculation gives -0.239 eV/atom. The theoretical density is 8.49 g cm⁻³.

Cell: 7.431 7.431 7.431 Å, 90.00 90.00 90.00°
Space group F-43m (No. 216)
Asymmetric unit:
Ac: 0.000 0.000 0.000 x4
Al: 0.000 0.000 0.500 x4
Ga: 0.250 0.250 0.750 x4
Hg: 0.250 0.250 0.250 x4